Material: SiTc2Mo
Method: DFT, PBE
State: optimized geometry

abc: 2.862 3.974 5.118
angles: 90.00 90.00 90.00
Space group Pmmm (No. 47)
Unique sites:
1 Si 0.000 0.000 0.000 [1 per cell]
2 Tc 0.500 0.500 0.235 [2 per cell]
3 Mo 0.000 0.000 0.500 [1 per cell]

The value obtained for the final energy is -9.344 eV per atom. The calculation puts the density of states at the Fermi level at 0.77 states/eV/atom. Its crystal system is orthorhombic. For the uncorrected formation energy, the calculation gives -97.0 meV per atom.